VASP calculation (GGA-PBE) on a relaxed structure of Pr2SmTm8.

Structure (POSCAR):
```
Pr2SmTm8
1.0
5.0138 0.0000 0.0000
0.0000 7.9026 0.4701
-2.5069 -2.8804 8.5613
Tm Pr Sm
8 2 1
Cartesian
0.0000 1.9486 7.2922 Tm
0.0000 0.6252 2.3973 Tm
2.5069 4.3970 6.6340 Tm
0.0000 5.4878 1.0996 Tm
2.5069 -0.4656 7.9318 Tm
0.0000 -1.1058 5.5069 Tm
2.5069 3.0737 1.7392 Tm
2.5069 6.1281 3.5244 Tm
2.5069 1.2935 4.8405 Pr
0.0000 3.7287 4.1908 Pr
2.5069 0.0000 0.0000 Sm
```

## Properties
The density of states at the Fermi level comes out at 15.48 states/eV per cell. The energy above the lowest structure with this stoichiometry comes out at 0.000 eV/atom. The calculation puts the calculated volume at 346.0 Å³/cell. The calculation puts the calculated formation energy at 0.029 eV per atom.

***

VASP calculation (GGA-PBE) on a relaxed structure of ScFe2Os.

Structure (POSCAR):
```
ScFe2Os
1.0
8.9035 0.0180 0.0106
8.4727 2.7360 0.0106
8.4727 1.3429 2.3838
Os Fe Sc
1 2 1
Cartesian
6.4622 1.0242 0.6012 Os
25.7473 4.0809 2.3956 Fe
13.0259 2.0646 1.2119 Fe
19.3866 3.0727 1.8037 Sc
```

## Properties
The density of states at the Fermi level comes out at 3.44 states/eV per cell. The energy above the lowest structure with this stoichiometry comes out at 0.311 eV/atom. The calculation puts the calculated volume at 57.5 Å³/cell. The calculation puts the calculated formation energy at 0.303 eV per atom.

***

VASP calculation (GGA-PBE) on a relaxed structure of Ce5Tl3Ag3.

Structure (POSCAR):
```
Ce5Tl3Ag3
1.0
3.2667 0.0000 0.0000
0.0000 8.8684 -5.1202
0.0000 0.0000 10.2404
Ag Ce Tl
3 5 3
Cartesian
1.6333 7.4886 -4.3236 Ag
1.6333 1.3798 0.7966 Ag
1.6333 0.0000 8.6471 Ag
1.6333 0.0000 3.5147 Ce
1.6333 3.0438 -1.7574 Ce
1.6333 5.9123 0.0000 Ce
1.6333 2.9561 5.1202 Ce
1.6333 5.8246 3.3628 Ce
0.0000 5.4543 -3.1490 Tl
0.0000 3.4141 1.9712 Tl
0.0000 0.0000 6.2980 Tl
```

## Properties
The density of states at the Fermi level comes out at 31.83 states/eV per cell. The calculation puts the calculated volume at 296.7 Å³/cell. The calculation puts the calculated formation energy at 0.162 eV per atom.

***

VASP calculation (GGA-PBE) on a relaxed structure of YZnPd.

Structure (POSCAR):
```
YZnPd
1.0
3.4788 0.0000 0.0000
0.0000 4.4806 0.0000
0.0000 -2.2403 3.8803
Zn Pd Y
1 1 1
Cartesian
0.5798 0.0000 0.0000 Zn
0.5803 0.0000 2.5869 Pd
2.3186 2.2403 1.2934 Y
```

## Properties
The density of states at the Fermi level comes out at 2.09 states/eV per cell. The calculation puts the calculated volume at 60.5 Å³/cell. The calculation puts the calculated formation energy at -0.678 eV per atom.

***

VASP calculation (GGA-PBE) on a relaxed structure of PmInS2O.

Structure (POSCAR):
```
PmInS2O
1.0
-0.5336 1.3539 3.6998
3.0306 -2.2446 1.2585
8.2338 9.7767 -2.3900
Pm In O S
2 2 2 4
Cartesian
4.6120 6.4701 0.4337 Pm
4.8702 2.8613 -0.3446 Pm
8.8409 7.5761 -1.4972 In
0.6413 1.7552 1.5863 In
5.3654 4.4430 1.2841 O
4.1169 4.8884 -1.1950 O
2.2152 -0.2912 0.4261 S
7.2670 9.6226 -0.3370 S
2.1624 3.5614 1.1448 S
7.3199 5.7700 -1.0557 S
```

## Properties
The formation energy without anion corrections comes out at -864 kJ/mol of formula units. The calculation puts the calculated volume at 205.5 Å³/cell.

***

VASP calculation (GGA-PBE) on a relaxed structure of Mg2TlMo.

Structure (POSCAR):
```
Mg2TlMo
1.0
-1.8849 -5.5160 0.5647
-0.2161 -4.9115 3.1826
-4.0727 -0.4731 2.7055
Mo Mg Tl
1 2 1
Cartesian
-4.6303 -8.1755 4.8395 Mo
-4.0429 -0.6169 2.7196 Mg
-3.1167 -5.3066 3.2122 Mg
-1.5434 -2.7252 1.6132 Tl
```

## Properties
The density of states at the Fermi level comes out at 1.44 states/eV per cell. The energy above the lowest structure with this stoichiometry comes out at 0.074 eV/atom. The calculation puts the calculated volume at 79.2 Å³/cell. The calculation puts the calculated formation energy at 0.356 eV per atom.

***

VASP calculation (GGA-PBE) on a relaxed structure of Ce2YCd2Hg2.

Structure (POSCAR):
```
Ce2YCd2Hg2
1.0
4.8659 0.0000 0.0000
2.4329 4.2140 0.0000
2.4329 1.4047 8.6893
Ce Hg Cd Y
2 2 2 1
Cartesian
7.2988 4.2140 3.6105 Ce
2.4330 1.4047 5.0789 Ce
4.8659 2.8093 6.8944 Hg
4.8659 2.8093 1.7950 Hg
7.2988 4.2140 6.9823 Cd
2.4329 1.4047 1.7070 Cd
0.0000 0.0000 0.0000 Y
```

## Properties
The density of states at the Fermi level comes out at 13.12 states/eV per cell. The calculation puts the calculated volume at 178.2 Å³/cell. The calculation puts the calculated formation energy at -0.194 eV per atom.

***

VASP calculation (GGA-PBE) on a relaxed structure of Na2Sr6N.

Structure (POSCAR):
```
Na2Sr6N
1.0
-6.8961 -3.6436 2.3717
-1.5212 -2.9227 -8.9289
4.9682 -8.2057 1.8396
Sr Na N
12 4 2
Cartesian
1.6231 -8.9175 -2.4223 Sr
-1.4041 -3.9147 -3.5441 Sr
-0.3186 -3.4714 1.1851 Sr
-2.0449 -10.8572 -1.1735 Sr
-2.0646 -8.0508 -4.4062 Sr
3.7871 -10.4634 -5.0420 Sr
-1.3844 -6.7211 -0.3114 Sr
-7.2361 -4.3085 0.3244 Sr
-5.0722 -5.8544 -2.2953 Sr
-5.0688 -8.0963 -6.6213 Sr
-3.1305 -11.3006 -5.9027 Sr
1.6197 -6.6756 1.9037 Sr
1.2140 -10.6181 1.2174 Na
-4.6630 -4.1539 -5.9350 Na
2.0296 -4.9734 -1.7367 Na
-5.4787 -9.7985 -2.9809 Na
-0.7606 -1.4613 -4.4644 N
-0.9639 -5.9246 2.1056 N
```

## Properties
The density of states at the Fermi level comes out at 13.94 states/eV per cell. The formation energy without anion corrections comes out at -123 kJ/mol of formula units. The energy above the lowest structure with this stoichiometry comes out at 0.000 eV/atom. The calculation puts the calculated volume at 757.8 Å³/cell.

***

VASP calculation (GGA-PBE) on a relaxed structure of HfTiBi2.

Structure (POSCAR):
```
HfTiBi2
1.0
0.0000 3.5897 3.5897
3.5897 0.0000 3.5897
3.5897 3.5897 0.0000
Bi Hf Ti
2 1 1
Cartesian
1.7949 1.7949 1.7949 Bi
5.3846 5.3846 5.3846 Bi
3.5897 3.5897 3.5897 Hf
0.0000 0.0000 0.0000 Ti
```

## Properties
The density of states at the Fermi level comes out at 7.01 states/eV per cell. The energy above the lowest structure with this stoichiometry comes out at 0.030 eV/atom. The calculation puts the calculated volume at 92.5 Å³/cell. The calculation puts the calculated formation energy at 0.049 eV per atom.

***

VASP calculation (GGA-PBE) on a relaxed structure of As2Pd3Ru.

Structure (POSCAR):
```
As2Pd3Ru
1.0
-3.2470 -3.5105 -2.8232
1.4202 2.5584 -4.8145
5.7216 -3.4389 3.1568
As Pd Ru
4 6 2
Cartesian
4.5178 -1.9834 0.2787 As
3.4392 -2.6380 -3.6838 As
0.4555 -1.7529 -0.7971 As
-0.6230 -2.4075 -4.7596 As
1.6614 -1.0228 -3.3499 Pd
-1.2685 -1.1156 -2.6152 Pd
-0.6839 -4.0699 -2.3645 Pd
2.2334 -3.3681 -1.1310 Pd
-0.5584 0.1636 -5.0225 Pd
4.5787 -0.3210 -2.1165 Pd
1.0651 1.9188 -3.6109 Ru
0.3550 0.6396 -1.2036 Ru
```

## Properties
The density of states at the Fermi level comes out at 2.15 states/eV per cell. The calculation puts the calculated volume at 195.1 Å³/cell. The calculation puts the calculated formation energy at -0.343 eV per atom.

***

VASP calculation (GGA-PBE) on a relaxed structure of TaTl2In.

Structure (POSCAR):
```
TaTl2In
1.0
5.7717 0.0134 0.0000
2.5272 5.1891 0.0000
-4.1495 -2.6013 3.0543
Tl Ta In
2 1 1
Cartesian
0.0000 0.0000 0.0000 Tl
4.1495 2.6013 0.0000 Tl
2.8859 0.0067 1.5271 Ta
1.2636 2.5945 1.5271 In
```

## Properties
The density of states at the Fermi level comes out at 2.36 states/eV per cell. The energy above the lowest structure with this stoichiometry comes out at 0.233 eV/atom. The calculation puts the calculated volume at 91.4 Å³/cell. The calculation puts the calculated formation energy at 0.599 eV per atom.

***

VASP calculation (GGA-PBE) on a relaxed structure of MnCd2Cl2.

Structure (POSCAR):
```
MnCd2Cl2
1.0
3.7650 0.0000 0.0000
0.0000 3.7650 0.0000
1.8825 1.8825 9.1548
Cl Cd Mn
2 2 1
Cartesian
1.8825 1.8825 1.5237 Cl
3.7650 3.7650 7.6310 Cl
1.8825 3.7650 4.5774 Cd
3.7650 1.8825 4.5774 Cd
0.0000 0.0000 0.0000 Mn
```

## Properties
The density of states at the Fermi level comes out at 2.90 states/eV per cell. The formation energy without anion corrections comes out at -39 kJ/mol of formula units. The energy above the lowest structure with this stoichiometry comes out at 0.243 eV/atom. The calculation puts the calculated volume at 129.8 Å³/cell.